Record 1
PBE-GGA CaAgOs, relaxed; SG = Imm2; relative energy among the computed polymorphs = 0.0 meV/atom; E_form = 51.5 kJ/mol of atoms
1.0
-3.4960 0.7857 3.8733
1.3577 -1.1021 4.9783
0.6907 2.7930 -4.4230
Ag Os Ca
1 1 1
Direct
0.0092 0.0092 0.0000
0.6598 0.6598 0.0000
0.3310 0.3310 0.0000


Record 2
PBE-GGA SrCrCl2, relaxed; SG = R-3m; formation energy (no corrections) = -0.743 eV/atom; relative energy among the computed polymorphs = 175.0 meV/atom
1.0
2.3857 0.0000 8.2622
-1.1929 2.0661 8.2622
-1.1929 -2.0661 8.2622
Cl Cr Sr
2 1 1
Direct
0.8838 0.8838 0.8838
0.1162 0.1162 0.1162
0.5000 0.5000 0.5000
0.0000 0.0000 0.0000


Record 3
PBE-GGA AcPN, relaxed; SG = P1; formation energy (no corrections) = -0.727 eV/atom; relative energy among the computed polymorphs = 129.4 meV/atom
1.0
4.8728 0.0036 0.0458
2.4378 4.3181 0.0267
2.4564 1.4386 3.0685
P N Ac
1 1 1
Direct
0.3610 0.0856 0.1743
0.5475 0.3357 0.6322
0.8259 0.5497 0.8012


Record 4
PBE-GGA HoErZnIr, relaxed; SG = F-43m; E_form = -63.7 kJ/mol of atoms
1.0
4.8923 0.0000 0.0000
2.4462 4.2369 0.0000
2.4462 1.4123 3.9946
Ir Er Zn Ho
1 1 1 1
Direct
0.5000 0.5000 0.5000
0.2500 0.2500 0.2500
0.0000 0.0000 0.0000
0.7500 0.7500 0.7500


Record 5
PBE-GGA LaZrFe2, relaxed; SG = F-43m; E_form = 33.1 kJ/mol of atoms
1.0
-1.6430 4.1944 -1.2956
-0.2647 1.1112 -4.5460
-4.1816 0.3351 -2.0912
Fe Zr La
2 1 1
Direct
0.2500 0.2500 0.2500
0.0000 0.0000 0.0000
0.7500 0.7500 0.7500
0.5000 0.5000 0.5000


Record 6
PBE-GGA Sm2ScGe3Pd4, relaxed; SG = P-4m2; E_form = -82.2 kJ/mol of atoms
1.0
4.2021 0.0000 0.0000
0.0000 4.2021 0.0000
0.0000 0.0000 11.1476
Pd Sc Ge Sm
4 1 3 2
Direct
0.0000 0.5000 0.3514
0.0000 0.0000 0.0000
0.5000 0.5000 0.0000
0.5000 0.0000 0.6486
0.5000 0.5000 0.5000
0.0000 0.0000 0.5000
0.0000 0.5000 0.1295
0.5000 0.0000 0.8705
0.5000 0.0000 0.2277
0.0000 0.5000 0.7723


Record 7
PBE-GGA Pm2TcO, relaxed; SG = P4/mmm; formation energy (no corrections) = -0.799 eV/atom; relative energy among the computed polymorphs = 0.0 meV/atom
1.0
3.2672 0.0000 0.0000
0.0000 3.2672 0.0000
0.0000 0.0000 7.0237
Pm O Tc
2 1 1
Direct
0.0000 0.0000 0.2702
0.0000 0.0000 0.7298
0.5000 0.5000 0.5000
0.5000 0.5000 0.0000


Record 8
PBE-GGA PuGa4Au3, relaxed; SG = P4/mmm; E_form = -32.2 kJ/mol of atoms
1.0
-1.4520 -0.5720 4.0124
4.0205 0.3357 1.5028
-1.0558 8.7629 0.8672
Au Ga Pu
3 4 1
Direct
0.0000 0.0000 0.0000
0.5000 0.5000 0.3474
0.5000 0.5000 0.6526
0.5000 0.0000 0.1770
0.0000 0.5000 0.1770
0.0000 0.5000 0.8230
0.5000 0.0000 0.8230
0.0000 0.0000 0.5000


Record 9
PBE-GGA CaH2PtN, relaxed; SG = P4/mmm
1.0
-2.6937 -2.6114 -1.9120
2.7389 -2.6061 -0.2993
-1.1078 -1.5935 3.7370
H Ca N Pt
2 1 1 1
Direct
0.0000 0.0000 0.5000
0.5000 0.0000 0.0000
0.5000 0.5000 0.5000
0.0000 0.0000 0.0000
0.0000 0.5000 0.0000


Record 10
PBE-GGA NdPuTlIn, relaxed; SG = F-43m; E_form = -19.7 kJ/mol of atoms
1.0
5.4598 0.0000 0.0000
2.7299 4.7284 0.0000
2.7299 1.5761 4.4579
Pu Nd In Tl
1 1 1 1
Direct
0.2500 0.2500 0.2500
0.7500 0.7500 0.7500
0.0000 0.0000 0.0000
0.5000 0.5000 0.5000


Record 11
PBE-GGA Ta2ZnBr, relaxed; SG = I4/mmm; formation energy (no corrections) = 0.833 eV/atom; relative energy among the computed polymorphs = 667.4 meV/atom
1.0
5.3322 -0.0168 0.0000
2.2751 4.8225 0.0000
-3.8036 -2.4028 2.8620
Ta Zn Br
2 1 1
Direct
0.0000 0.0000 0.0000
0.5000 0.5000 0.0000
0.2500 0.7500 0.5000
0.7500 0.2500 0.5000


Record 12
PBE-GGA Tb6PmDyHo2, relaxed; SG = C2/c; E_form = 11.5 kJ/mol of atoms
1.0
-0.5766 -9.2965 2.1262
6.2181 1.5767 6.0084
-8.3461 1.6164 2.2321
Tb Dy Pm Ho
12 2 2 4
Direct
0.6193 0.4914 0.7079
0.6833 0.0173 0.5661
0.0562 0.1214 0.7515
0.1193 0.7079 0.4914
0.3167 0.9827 0.4339
0.5562 0.7515 0.1214
0.4438 0.2485 0.8786
0.9438 0.8786 0.2485
0.8807 0.2921 0.5086
0.3807 0.5086 0.2921
0.1833 0.5661 0.0173
0.8167 0.4339 0.9827
0.2500 0.4092 0.5908
0.7500 0.5908 0.4092
0.2500 0.9745 0.0255
0.7500 0.0255 0.9745
0.5458 0.1987 0.3025
0.0458 0.3025 0.1987
0.9542 0.6975 0.8013
0.4542 0.8013 0.6975


One value per record, in order, for total energy: -0.1774; -0.1651; -0.2453; -0.2014; -0.2667; -0.2165; -0.2574; -0.1789; -0.1521; -0.2299; -0.2143; -0.1657 Ha/atom.